The following is a DFT calculation (PBE) of a relaxed Ho6AlZn5 crystal.

The structure in CIF format:
```
data_Ho6AlZn5
_chemical_formula_sum 'Ho12 Al2 Zn10'
_cell_length_a 5.018
_cell_length_b 15.098
_cell_length_c 7.157
_cell_angle_alpha 90.00
_cell_angle_beta 90.00
_cell_angle_gamma 90.00
_symmetry_space_group_name_H-M 'C m m m'
_symmetry_Int_Tables_number 65
_symmetry_space_group_name_Hall '-C 2 2'
loop_
_atom_site_label
_atom_site_fract_x
_atom_site_fract_y
_atom_site_fract_z
Ho1 0.000 0.000 0.247
Ho2 0.000 0.332 0.249
Al1 0.000 0.500 0.500
Zn1 0.000 0.164 0.500
Zn2 0.000 0.166 0.000
Zn3 0.000 0.500 0.000
```

Output
Its final energy is -83.69 eV for the cell shown. Its density is 8.2 g/cm³. The size of the total moment comes out at 0.000 Bohr magnetons per cell. For the density of states at the Fermi level, the calculation gives 0.988 states/eV/atom. As for the formation energy: -0.36 eV per atom.

The following is a DFT calculation (PBE) of a relaxed HoAl3Zn3 crystal.

The structure in CIF format:
```
data_HoAl3Zn3
_chemical_formula_sum 'Ho8 Al24 Zn24'
_cell_length_a 11.842
_cell_length_b 11.842
_cell_length_c 11.842
_cell_angle_alpha 90.00
_cell_angle_beta 90.00
_cell_angle_gamma 90.00
_symmetry_space_group_name_H-M 'F m -3 m'
_symmetry_Int_Tables_number 225
_symmetry_space_group_name_Hall '-F 4 2 3'
loop_
_atom_site_label
_atom_site_fract_x
_atom_site_fract_y
_atom_site_fract_z
Ho1 0.250 0.250 0.250
Al1 0.000 0.000 0.156
Zn1 0.000 0.000 0.350
```

Output
Its relative energy among the computed polymorphs is 748.4 meV/atom. Its final energy is -117.12 eV for the cell shown. Its density is 3.5 g/cm³. The size of the total moment comes out at 0.000 Bohr magnetons per cell. For the density of states at the Fermi level, the calculation gives 1.074 states/eV/atom. As for the formation energy: 0.71 eV per atom.

The following is a DFT calculation (PBE) of a relaxed Ho2AlZn5 crystal.

The structure in CIF format:
```
data_Ho2AlZn5
_chemical_formula_sum 'Ho8 Al4 Zn20'
_cell_length_a 4.301
_cell_length_b 15.861
_cell_length_c 8.904
_cell_angle_alpha 90.00
_cell_angle_beta 90.00
_cell_angle_gamma 90.00
_symmetry_space_group_name_H-M 'C m c m'
_symmetry_Int_Tables_number 63
_symmetry_space_group_name_Hall '-C 2c 2'
loop_
_atom_site_label
_atom_site_fract_x
_atom_site_fract_y
_atom_site_fract_z
Ho1 0.000 0.000 0.000
Ho2 0.000 0.199 0.250
Al1 0.000 0.446 0.750
Zn1 0.000 0.189 0.607
Zn2 0.000 0.352 0.522
Zn3 0.000 0.397 0.250
```

Output
Its final energy is -88.13 eV for the cell shown. Its density is 7.5 g/cm³. The size of the total moment comes out at 0.000 Bohr magnetons per cell. For the density of states at the Fermi level, the calculation gives 0.704 states/eV/atom. As for the formation energy: -0.35 eV per atom.

The following is a DFT calculation (PBE) of a relaxed Ho3Al3Zn8 crystal.

The structure in CIF format:
```
data_Ho3Al3Zn8
_chemical_formula_sum 'Ho6 Al6 Zn16'
_cell_length_a 4.255
_cell_length_b 9.509
_cell_length_c 12.531
_cell_angle_alpha 90.00
_cell_angle_beta 90.00
_cell_angle_gamma 90.00
_symmetry_space_group_name_H-M 'I m m m'
_symmetry_Int_Tables_number 71
_symmetry_space_group_name_Hall '-I 2 2'
loop_
_atom_site_label
_atom_site_fract_x
_atom_site_fract_y
_atom_site_fract_z
Ho1 0.000 0.000 0.000
Ho2 0.000 0.000 0.303
Al1 0.000 0.205 0.500
Al2 0.000 0.500 0.000
Zn1 0.000 0.276 0.140
Zn2 0.000 0.369 0.338
```

Output
Its final energy is -80.60 eV for the cell shown. Its density is 7.2 g/cm³. The size of the total moment comes out at 0.000 Bohr magnetons per cell. For the density of states at the Fermi level, the calculation gives 0.325 states/eV/atom. As for the formation energy: -0.37 eV per atom.

The following is a DFT calculation (PBE) of a relaxed Ho3Al2Zn crystal.

The structure in CIF format:
```
data_Ho3Al2Zn
_chemical_formula_sum 'Ho3 Al2 Zn1'
_cell_length_a 3.546
_cell_length_b 3.546
_cell_length_c 10.884
_cell_angle_alpha 90.00
_cell_angle_beta 90.00
_cell_angle_gamma 90.00
_symmetry_space_group_name_H-M 'P 4/m m m'
_symmetry_Int_Tables_number 123
_symmetry_space_group_name_Hall '-P 4 2'
loop_
_atom_site_label
_atom_site_fract_x
_atom_site_fract_y
_atom_site_fract_z
Ho1 0.000 0.000 0.000
Ho2 0.000 0.000 0.339
Al1 0.500 0.500 0.171
Zn1 0.500 0.500 0.500
```

Output
Its final energy is -24.82 eV for the cell shown. Its density is 7.5 g/cm³. The size of the total moment comes out at 0.000 Bohr magnetons per cell. For the density of states at the Fermi level, the calculation gives 0.669 states/eV/atom. As for the formation energy: -0.39 eV per atom.

The following is a DFT calculation (PBE) of a relaxed HoAl2Zn crystal.

The structure in CIF format:
```
data_HoAl2Zn
_chemical_formula_sum 'Ho2 Al4 Zn2'
_cell_length_a 5.437
_cell_length_b 9.284
_cell_length_c 3.241
_cell_angle_alpha 90.00
_cell_angle_beta 90.00
_cell_angle_gamma 90.00
_symmetry_space_group_name_H-M 'C m m m'
_symmetry_Int_Tables_number 65
_symmetry_space_group_name_Hall '-C 2 2'
loop_
_atom_site_label
_atom_site_fract_x
_atom_site_fract_y
_atom_site_fract_z
Ho1 0.000 0.000 0.000
Al1 0.250 0.250 0.500
Zn1 0.000 0.500 0.500
```

Output
Its final energy is -28.38 eV for the cell shown. Its density is 5.8 g/cm³. The size of the total moment comes out at 0.000 Bohr magnetons per cell. For the density of states at the Fermi level, the calculation gives 0.707 states/eV/atom. As for the formation energy: -0.21 eV per atom.

The following is a DFT calculation (PBE) of a relaxed HoAlZn crystal.

The structure in CIF format:
```
data_HoAlZn
_chemical_formula_sum 'Ho2 Al2 Zn2'
_cell_length_a 3.296
_cell_length_b 3.296
_cell_length_c 11.142
_cell_angle_alpha 90.00
_cell_angle_beta 90.00
_cell_angle_gamma 90.00
_symmetry_space_group_name_H-M 'I 4 m m'
_symmetry_Int_Tables_number 107
_symmetry_space_group_name_Hall 'I 4 -2'
loop_
_atom_site_label
_atom_site_fract_x
_atom_site_fract_y
_atom_site_fract_z
Ho1 0.000 0.000 0.000
Al1 0.000 0.000 0.690
Zn1 0.000 0.000 0.318
```

Output
Its final energy is -20.64 eV for the cell shown. Its density is 7.1 g/cm³. The size of the total moment comes out at 0.447 Bohr magnetons per cell. For the density of states at the Fermi level, the calculation gives 0.565 states/eV/atom. As for the formation energy: -0.24 eV per atom.

The following is a DFT calculation (PBE) of a relaxed Ho3AlZn crystal.

The structure in CIF format:
```
data_Ho3AlZn
_chemical_formula_sum 'Ho12 Al4 Zn4'
_cell_length_a 3.545
_cell_length_b 15.819
_cell_length_c 9.767
_cell_angle_alpha 90.00
_cell_angle_beta 90.00
_cell_angle_gamma 90.00
_symmetry_space_group_name_H-M 'C m c m'
_symmetry_Int_Tables_number 63
_symmetry_space_group_name_Hall '-C 2c 2'
loop_
_atom_site_label
_atom_site_fract_x
_atom_site_fract_y
_atom_site_fract_z
Ho1 0.000 0.091 0.250
Ho2 0.000 0.351 0.055
Al1 0.000 0.257 0.750
Zn1 0.000 0.000 0.000
```

Output
Its relative energy among the computed polymorphs is 193.9 meV/atom. Its final energy is -76.93 eV for the cell shown. Its density is 7.1 g/cm³. The size of the total moment comes out at 0.000 Bohr magnetons per cell. For the density of states at the Fermi level, the calculation gives 1.133 states/eV/atom. As for the formation energy: -0.10 eV per atom.

The following is a DFT calculation (PBE) of a relaxed HoAl2Zn crystal.

The structure in CIF format:
```
data_HoAl2Zn
_chemical_formula_sum 'Ho4 Al8 Zn4'
_cell_length_a 6.768
_cell_length_b 6.768
_cell_length_c 6.768
_cell_angle_alpha 90.00
_cell_angle_beta 90.00
_cell_angle_gamma 90.00
_symmetry_space_group_name_H-M 'F m -3 m'
_symmetry_Int_Tables_number 225
_symmetry_space_group_name_Hall '-F 4 2 3'
loop_
_atom_site_label
_atom_site_fract_x
_atom_site_fract_y
_atom_site_fract_z
Ho1 0.000 0.000 0.000
Al1 0.250 0.250 0.250
Zn1 0.000 0.000 0.500
```

Output
Its final energy is -54.56 eV for the cell shown. Its density is 6.1 g/cm³. The size of the total moment comes out at 0.000 Bohr magnetons per cell. For the density of states at the Fermi level, the calculation gives 0.720 states/eV/atom. As for the formation energy: -0.08 eV per atom.

The following is a DFT calculation (PBE) of a relaxed Ho5AlZn crystal.

The structure in CIF format:
```
data_Ho5AlZn
_chemical_formula_sum 'Ho20 Al4 Zn4'
_cell_length_a 8.709
_cell_length_b 8.809
_cell_length_c 10.161
_cell_angle_alpha 90.00
_cell_angle_beta 90.19
_cell_angle_gamma 90.00
_symmetry_space_group_name_H-M 'C 1 2/c 1'
_symmetry_Int_Tables_number 15
_symmetry_space_group_name_Hall '-C 2yc'
loop_
_atom_site_label
_atom_site_fract_x
_atom_site_fract_y
_atom_site_fract_z
Ho1 0.000 0.143 0.250
Ho2 0.166 0.409 0.501
Ho3 0.170 0.214 0.834
Al1 0.000 0.489 0.250
Zn1 0.000 0.000 0.000
```

Output
Its final energy is -112.71 eV for the cell shown. Its density is 7.8 g/cm³. The size of the total moment comes out at 0.001 Bohr magnetons per cell. For the density of states at the Fermi level, the calculation gives 1.372 states/eV/atom. As for the formation energy: -0.04 eV per atom.